i.
Density functional theory data (GGA-PBE) for a relaxed AuBrCl crystal.

The calculation puts the volume at 196.2 Å³ per cell. The density of states at the Fermi level is 2.071 states/eV/cell.

The space group is P-1 (No. 2) and the conventional cell measures 3.677, 7.368 and 7.615 Å, with angles of 79.45, 89.96 and 75.56 degrees. Symmetry generates all atoms from Au at (0.040, 0.421, 0.284), Br at (0.343, 0.813, 0.599) and Cl at (0.113, 0.272, 0.870).

ii.
Density functional theory data (GGA-PBE) for a relaxed AuBrCl crystal.

The calculation puts the volume at 299.0 Å³ per cell. The density of states at the Fermi level is 28.934 states/eV/cell.

The space group is F-43m (No. 216) and the conventional cell measures 6.687, 6.687 and 6.687 Å, with angles of 90.00, 90.00 and 90.00 degrees. Symmetry generates all atoms from Au at (0.000, 0.000, 0.000), Br at (0.250, 0.250, 0.250) and Cl at (0.250, 0.250, 0.750).

Stability, lowest: ii